w) {"formula": "Sm6Dy4Ho", "functional": "PBE-GGA", "state": "optimized geometry", "mass_density_g_cm3": 7.91, "spacegroup": "Cmcm (63)", "cell": [[5.827, 0.000, 0.000], [-2.913, 4.823, 0.000], [0.000, 0.000, 25.663]], "species": ["Sm", "Sm", "Sm", "Sm", "Sm", "Sm", "Sm", "Sm", "Sm", "Sm", "Sm", "Sm", "Dy", "Dy", "Dy", "Dy", "Dy", "Dy", "Dy", "Dy", "Ho", "Ho"], "frac_coords": [[0.500, 0.000, 0.000], [0.500, 0.000, 0.500], [0.121, 0.241, 0.318], [0.879, 0.759, 0.682], [0.879, 0.759, 0.818], [0.121, 0.241, 0.182], [0.797, 0.593, 0.397], [0.203, 0.407, 0.603], [0.203, 0.407, 0.897], [0.797, 0.593, 0.103], [0.448, 0.895, 0.250], [0.552, 0.105, 0.750], [0.852, 0.703, 0.544], [0.453, 0.907, 0.123], [0.148, 0.297, 0.456], [0.547, 0.093, 0.877], [0.852, 0.703, 0.956], [0.148, 0.297, 0.044], [0.547, 0.093, 0.623], [0.453, 0.907, 0.377], [0.786, 0.571, 0.250], [0.214, 0.429, 0.750]]}

---

x) {"formula": "Sm6Dy4Ho", "functional": "PBE-GGA", "state": "optimized geometry", "mass_density_g_cm3": 7.47, "spacegroup": "I-42m (121)", "cell": [[-2.820, -6.420, -2.638], [3.372, 1.222, -6.577], [5.232, -0.727, 6.814]], "species": ["Sm", "Sm", "Sm", "Sm", "Sm", "Sm", "Dy", "Dy", "Dy", "Dy", "Ho"], "frac_coords": [[0.914, 0.460, 0.374], [0.460, 0.914, 0.374], [0.540, 0.540, 0.626], [0.000, 0.500, 0.000], [0.086, 0.086, 0.626], [0.500, 0.000, 0.000], [0.085, 0.754, 0.839], [0.915, 0.915, 0.161], [0.754, 0.085, 0.839], [0.246, 0.246, 0.161], [0.500, 0.500, 0.000]]}

---

How far above the most stable structure does each one sit? In eV/atom: w) 0.000; x) 0.266.

---

w) {"formula": "Sm8Dy2Ho", "functional": "PBE-GGA", "state": "optimized geometry", "mass_density_g_cm3": 7.58, "spacegroup": "C2/m (12)", "cell": [[6.298, 1.807, 1.371], [2.112, 9.599, 3.049], [2.112, 5.521, 8.424]], "species": ["Sm", "Sm", "Sm", "Sm", "Sm", "Sm", "Sm", "Sm", "Dy", "Dy", "Ho"], "frac_coords": [[0.229, 0.350, 0.826], [0.771, 0.174, 0.650], [0.173, 0.756, 0.756], [0.827, 0.244, 0.244], [0.229, 0.826, 0.350], [0.771, 0.650, 0.174], [0.727, 0.592, 0.592], [0.273, 0.408, 0.408], [0.592, 0.802, 0.802], [0.408, 0.198, 0.198], [0.000, 0.000, 0.000]]}

---

x) {"formula": "Sm8Dy2Ho", "functional": "PBE-GGA", "state": "optimized geometry", "mass_density_g_cm3": 7.63, "spacegroup": "C2/m (12)", "cell": [[8.077, 2.291, 3.948], [4.380, 7.836, 4.607], [3.838, 1.970, 9.122]], "species": ["Sm", "Sm", "Sm", "Sm", "Sm", "Sm", "Sm", "Sm", "Dy", "Dy", "Ho"], "frac_coords": [[0.136, 0.350, 0.788], [0.864, 0.212, 0.650], [0.275, 0.674, 0.674], [0.725, 0.326, 0.326], [0.136, 0.788, 0.350], [0.864, 0.650, 0.212], [0.617, 0.691, 0.691], [0.383, 0.309, 0.309], [0.659, 0.858, 0.858], [0.341, 0.142, 0.142], [0.000, 0.000, 0.000]]}

---

How far above the most stable structure does each one sit? In eV/atom: w) 0.046; x) 0.000.

---

w) {"formula": "Sm4Dy5Ho3", "functional": "PBE-GGA", "state": "optimized geometry", "mass_density_g_cm3": 8.02, "spacegroup": "C2/m (12)", "cell": [[5.901, 0.000, 0.000], [2.950, 7.597, -2.626], [2.950, -0.942, 9.142]], "species": ["Sm", "Sm", "Sm", "Sm", "Dy", "Dy", "Dy", "Dy", "Dy", "Ho", "Ho", "Ho"], "frac_coords": [[0.861, 0.222, 0.057], [0.165, 0.050, 0.620], [0.835, 0.950, 0.380], [0.139, 0.778, 0.943], [0.629, 0.943, 0.799], [0.500, 0.500, 0.500], [0.214, 0.458, 0.114], [0.786, 0.542, 0.886], [0.371, 0.057, 0.201], [0.523, 0.688, 0.267], [0.000, 0.500, 0.500], [0.477, 0.312, 0.733]]}

---

x) {"formula": "Sm4Dy5Ho3", "functional": "PBE-GGA", "state": "optimized geometry", "mass_density_g_cm3": 8.25, "spacegroup": "P-1 (2)", "cell": [[6.877, -0.393, 1.842], [-5.195, 7.465, -6.664], [4.076, -3.868, 11.556]], "species": ["Sm", "Sm", "Sm", "Sm", "Dy", "Dy", "Dy", "Dy", "Dy", "Ho", "Ho", "Ho"], "frac_coords": [[0.917, 0.834, 0.666], [0.832, 0.665, 0.833], [0.168, 0.335, 0.167], [0.083, 0.166, 0.334], [0.332, 0.666, 0.833], [0.500, 0.000, 0.500], [0.751, 0.499, 0.999], [0.249, 0.501, 0.001], [0.668, 0.334, 0.167], [0.580, 0.164, 0.333], [0.000, 0.000, 0.500], [0.420, 0.836, 0.667]]}

---

How far above the most stable structure does each one sit? In eV/atom: w) 0.216; x) 0.000.

---

w) {"formula": "SmDyHo5", "functional": "PBE-GGA", "state": "optimized geometry", "mass_density_g_cm3": 8.46, "spacegroup": "C2/c (15)", "cell": [[6.143, 0.143, 2.731], [2.327, 5.687, 2.731], [1.020, 0.702, 13.565]], "species": ["Sm", "Sm", "Dy", "Dy", "Ho", "Ho", "Ho", "Ho", "Ho", "Ho", "Ho", "Ho", "Ho", "Ho"], "frac_coords": [[0.722, 0.278, 0.750], [0.278, 0.722, 0.250], [0.000, 0.000, 0.000], [0.000, 0.000, 0.500], [0.164, 0.391, 0.753], [0.653, 0.691, 0.500], [0.391, 0.164, 0.253], [0.162, 0.838, 0.750], [0.309, 0.347, 0.000], [0.691, 0.653, 0.000], [0.838, 0.162, 0.250], [0.609, 0.836, 0.747], [0.347, 0.309, 0.500], [0.836, 0.609, 0.247]]}

---

x) {"formula": "SmDyHo5", "functional": "PBE-GGA", "state": "optimized geometry", "mass_density_g_cm3": 6.62, "spacegroup": "Imm2 (44)", "cell": [[-3.502, 4.906, -1.159], [-2.455, -3.360, -6.804], [-1.460, -3.272, 6.816]], "species": ["Sm", "Dy", "Ho", "Ho", "Ho", "Ho", "Ho"], "frac_coords": [[0.697, 0.500, 0.000], [0.936, 0.000, 0.000], [0.186, 0.256, 0.511], [0.170, 0.500, 0.000], [0.675, 0.744, 0.489], [0.433, 0.821, 0.000], [0.433, 0.179, 0.000]]}

---

How far above the most stable structure does each one sit? In eV/atom: w) 0.000; x) 0.798.

---

w) {"formula": "Sm4Dy3Ho2", "functional": "PBE-GGA", "state": "optimized geometry", "mass_density_g_cm3": 8.10, "spacegroup": "Cccm (66)", "cell": [[7.050, 0.017, 0.012], [-0.025, 9.712, 0.943], [-0.025, 4.022, 8.890]], "species": ["Sm", "Sm", "Sm", "Sm", "Sm", "Sm", "Sm", "Sm", "Dy", "Dy", "Dy", "Dy", "Dy", "Dy", "Ho", "Ho", "Ho", "Ho"], "frac_coords": [[0.500, 0.821, 0.152], [0.000, 0.848, 0.179], [0.500, 0.179, 0.848], [0.000, 0.152, 0.821], [0.000, 0.177, 0.478], [0.500, 0.522, 0.823], [0.000, 0.823, 0.522], [0.500, 0.478, 0.177], [0.750, 0.170, 0.170], [0.750, 0.830, 0.830], [0.250, 0.830, 0.830], [0.250, 0.170, 0.170], [0.250, 0.500, 0.500], [0.750, 0.500, 0.500], [0.500, 0.155, 0.523], [0.000, 0.477, 0.845], [0.500, 0.845, 0.477], [0.000, 0.523, 0.155]]}

---

x) {"formula": "Sm4Dy3Ho2", "functional": "PBE-GGA", "state": "optimized geometry", "mass_density_g_cm3": 8.09, "spacegroup": "C2/m (12)", "cell": [[5.058, 0.000, 0.000], [-2.529, 5.381, -5.340], [0.000, -3.632, 14.302]], "species": ["Sm", "Sm", "Sm", "Sm", "Dy", "Dy", "Dy", "Ho", "Ho"], "frac_coords": [[0.665, 0.330, 0.999], [0.335, 0.670, 0.001], [0.888, 0.775, 0.666], [0.112, 0.225, 0.334], [0.557, 0.114, 0.667], [0.000, 0.000, 0.000], [0.443, 0.886, 0.333], [0.780, 0.560, 0.335], [0.220, 0.440, 0.665]]}

---

How far above the most stable structure does each one sit? In eV/atom: w) 0.038; x) 0.000.

---

w) {"formula": "Sm3Dy5Ho4", "functional": "PBE-GGA", "state": "optimized geometry", "mass_density_g_cm3": 8.18, "spacegroup": "C2/m (12)", "cell": [[-0.191, -3.773, -4.514], [-3.395, -7.399, 2.490], [-6.031, 3.605, -6.596]], "species": ["Sm", "Sm", "Sm", "Dy", "Dy", "Dy", "Dy", "Dy", "Ho", "Ho", "Ho", "Ho"], "frac_coords": [[0.522, 0.686, 0.270], [0.000, 0.500, 0.500], [0.478, 0.314, 0.730], [0.623, 0.951, 0.802], [0.500, 0.500, 0.500], [0.215, 0.458, 0.112], [0.785, 0.542, 0.888], [0.377, 0.049, 0.198], [0.860, 0.222, 0.059], [0.167, 0.044, 0.623], [0.833, 0.956, 0.377], [0.140, 0.778, 0.941]]}

---

x) {"formula": "Sm3Dy5Ho4", "functional": "PBE-GGA", "state": "optimized geometry", "mass_density_g_cm3": 8.38, "spacegroup": "P-1 (2)", "cell": [[-6.604, -1.387, -2.246], [9.715, -0.640, -5.626], [-9.069, -5.220, 7.401]], "species": ["Sm", "Sm", "Sm", "Dy", "Dy", "Dy", "Dy", "Dy", "Ho", "Ho", "Ho", "Ho"], "frac_coords": [[0.585, 0.168, 0.334], [0.000, 0.000, 0.500], [0.415, 0.832, 0.666], [0.333, 0.668, 0.834], [0.500, 0.000, 0.500], [0.749, 0.501, 0.001], [0.251, 0.499, 0.999], [0.667, 0.332, 0.166], [0.917, 0.834, 0.668], [0.833, 0.667, 0.834], [0.167, 0.333, 0.166], [0.083, 0.166, 0.332]]}

---

How far above the most stable structure does each one sit? In eV/atom: w) 0.221; x) 0.000.